Density functional theory data (GGA-PBE) for K2P3Pd5 after structural relaxation.

The density comes out at 6.12 g/cm3. As for the density of states at the Fermi level: 9.514 states/eV per cell. For the total moment, the calculation gives 0.00 μB per atom. Its symmetry is Ibam. The energy of formation from the pure elements comes out at -36.5 kJ per mole of atoms.

Cell and atoms, written as POSCAR:
```
K2P3Pd5
1.0
-0.636 2.297 5.806
-6.115 -5.677 -1.810
3.038 -7.979 0.103
Pd P K
10 6 4
direct
0.750 0.500 0.500
0.472 0.723 0.722
0.392 0.769 0.015
0.972 0.722 0.723
0.608 0.231 0.985
0.528 0.277 0.278
0.892 0.015 0.769
0.028 0.278 0.277
0.108 0.985 0.231
0.250 0.500 0.500
0.250 0.000 0.000
0.750 0.000 0.000
0.620 0.497 0.743
0.880 0.257 0.503
0.120 0.743 0.497
0.380 0.503 0.257
0.867 0.626 0.109
0.133 0.374 0.891
0.367 0.109 0.626
0.633 0.891 0.374
```